First-principles (PBE) data for a relaxed structure of Y2Cd16Pb, as listed in Alexandria via LeMat-Bulk.

The structure belongs to space group R3m (No. 160, hexagonal axes); the cell edges are 10.2692, 10.2692 and 14.6993 Å and the angles 90.00°, 90.00° and 120.00°. The inequivalent atoms are Y at (0.0000, 0.0000, 0.0000), Y at (0.0000, 0.0000, 0.3362), Cd at (0.0000, 0.0000, 0.7673), Cd at (0.0198, 0.3487, 0.3317), Cd at (0.1703, 0.3405, 0.1496), Cd at (0.1826, 0.3651, 0.5043), Cd at (0.1906, 0.3812, 0.8406) and Pb at (0.0000, 0.0000, 0.5640).

Its formation energy is -96 meV/atom.